No. 1
This record from Alexandria describes a crystal of RbLaB2 relaxed with PBEsol. The functional is SCAN.

Geometry as CIF:
```
data_RbLaB2
_space_group_name_H-M_alt 'I 41/a m d'
_space_group_IT_number 141
_cell_length_a 4.619
_cell_length_b 4.619
_cell_length_c 18.174
_cell_angle_alpha 90.00
_cell_angle_beta 90.00
_cell_angle_gamma 90.00
loop_
_space_group_symop_operation_xyz
'x,y,z'
'-x,-y,-z'
'-y+1/4,x+3/4,z+1/4'
'y+1/4,-x+3/4,-z+1/4'
'-x+1/2,-y,z+1/2'
'x+1/2,y,-z+1/2'
'y+1/4,-x+1/4,z+3/4'
'-y+1/4,x+1/4,-z+3/4'
'x,-y,-z'
'-x,y,z'
'-y+1/4,-x+1/4,-z+3/4'
'y+1/4,x+1/4,z+3/4'
'-x+1/2,y,-z+1/2'
'x+1/2,-y,z+1/2'
'y+1/4,x+3/4,-z+1/4'
'-y+1/4,-x+3/4,z+1/4'
'x+1/2,y+1/2,z+1/2'
'-x+1/2,-y+1/2,-z+1/2'
'-y+3/4,x+1/4,z+3/4'
'y+3/4,-x+1/4,-z+3/4'
'-x,-y+1/2,z'
'x,y+1/2,-z'
'y+3/4,-x+3/4,z+1/4'
'-y+3/4,x+3/4,-z+1/4'
'x+1/2,-y+1/2,-z+1/2'
'-x+1/2,y+1/2,z+1/2'
'-y+3/4,-x+3/4,-z+1/4'
'y+3/4,x+3/4,z+1/4'
'-x,y+1/2,-z'
'x,-y+1/2,z'
'y+3/4,x+1/4,-z+3/4'
'-y+3/4,-x+1/4,z+3/4'
loop_
_atom_site_label
_atom_site_type_symbol
_atom_site_fract_x
_atom_site_fract_y
_atom_site_fract_z
_atom_site_occupancy
Rb1 Rb 0.000 0.250 0.375 1
La1 La 0.000 0.250 0.875 1
B1 B 0.000 0.000 0.000 1
```

Results
**Calculated formation energy**: 1435.2 meV/atom

No. 2
This record from Alexandria describes a crystal of Sb relaxed with PBEsol. The functional is SCAN.

Geometry as CIF:
```
data_Sb
_space_group_name_H-M_alt 'P 63/m m c'
_space_group_IT_number 194
_space_group_name_Hall '-P 6c 2c'
_cell_length_a 5.0677
_cell_length_b 5.0677
_cell_length_c 5.9999
_cell_angle_alpha 90.00
_cell_angle_beta 90.00
_cell_angle_gamma 120.00
loop_
_atom_site_label
_atom_site_type_symbol
_atom_site_fract_x
_atom_site_fract_y
_atom_site_fract_z
_atom_site_occupancy
Sb1 Sb 0.0000 0.0000 0.2500 1
Sb2 Sb 0.3333 0.6667 0.2500 1
```

Results
**E above lowest polymorph**: 407.4 meV/atom
**Uncorrected formation energy**: 407 meV per atom

no.,V (Å³/cell),total DFT energy (no corrections) (eV per atom)
1,387.83,-18.24
2,133.44,-36.85